[1]
Here is a geometry-optimized Sc4Ta2As3N3 structure from OQMD. Energies are from PBE.

Values from the calculation:
VASP energy: -8.553 eV/atom
Symmetry: C2/c (15)

The structure in POSCAR format:
```
Sc4Ta2As3N3
1.0
4.944 -2.882 0.000
4.944 2.882 0.000
-3.295 0.000 12.367
N As Ta Sc
6 6 4 8
direct
0.500 0.000 0.500 N
0.333 0.833 0.000 N
0.000 0.500 0.000 N
0.667 0.167 0.000 N
0.167 0.667 0.500 N
0.833 0.333 0.500 N
0.417 0.265 0.251 As
0.583 0.735 0.749 As
0.101 0.899 0.250 As
0.265 0.417 0.751 As
0.899 0.101 0.750 As
0.735 0.583 0.249 As
0.470 0.638 0.413 Ta
0.362 0.530 0.087 Ta
0.530 0.362 0.587 Ta
0.638 0.470 0.913 Ta
0.197 0.035 0.598 Sc
0.803 0.965 0.402 Sc
0.965 0.803 0.902 Sc
0.130 0.301 0.402 Sc
0.035 0.197 0.098 Sc
0.870 0.699 0.598 Sc
0.301 0.130 0.902 Sc
0.699 0.870 0.098 Sc
```

=====

[2]
Here is a geometry-optimized Sc2As3W4N3 structure from OQMD. Energies are from PBE.

Values from the calculation:
VASP energy: -9.062 eV/atom
Symmetry: C2/c (15)

The structure in POSCAR format:
```
Sc2As3W4N3
1.0
4.938 -2.881 0.000
4.938 2.881 0.000
-3.223 0.000 11.730
W As Sc N
8 6 4 6
direct
0.819 0.956 0.916 W
0.126 0.301 0.916 W
0.044 0.181 0.584 W
0.699 0.874 0.584 W
0.874 0.699 0.084 W
0.956 0.819 0.416 W
0.181 0.044 0.084 W
0.301 0.126 0.416 W
0.936 0.064 0.250 As
0.422 0.224 0.753 As
0.776 0.578 0.747 As
0.064 0.936 0.750 As
0.578 0.776 0.247 As
0.224 0.422 0.253 As
0.532 0.361 0.103 Sc
0.468 0.639 0.897 Sc
0.361 0.532 0.603 Sc
0.639 0.468 0.397 Sc
0.186 0.658 0.000 N
0.500 0.000 0.000 N
0.658 0.186 0.500 N
0.814 0.342 0.000 N
0.342 0.814 0.500 N
0.000 0.500 0.500 N
```

=====

[3]
Here is a geometry-optimized Sc4ZnAsN2 structure from OQMD. Energies are from PBE.

Values from the calculation:
VASP energy: -7.209 eV/atom
Symmetry: P-6m2 (187)

The structure in POSCAR format:
```
Sc4ZnAsN2
1.0
-0.538 -3.091 -0.881
2.232 1.778 -1.573
9.439 -4.128 8.726
As Sc N Zn
1 4 2 1
direct
0.667 0.333 0.500 As
0.667 0.333 0.166 Sc
0.667 0.333 0.834 Sc
0.000 0.000 0.652 Sc
0.000 0.000 0.348 Sc
0.333 0.667 0.260 N
0.333 0.667 0.740 N
0.000 0.000 0.000 Zn
```

=====

Copy entry 3 word for word.
Here is a geometry-optimized Sc4ZnAsN2 structure from OQMD. Energies are from PBE.

Values from the calculation:
VASP energy: -7.209 eV/atom
Symmetry: P-6m2 (187)

The structure in POSCAR format:
```
Sc4ZnAsN2
1.0
-0.538 -3.091 -0.881
2.232 1.778 -1.573
9.439 -4.128 8.726
As Sc N Zn
1 4 2 1
direct
0.667 0.333 0.500 As
0.667 0.333 0.166 Sc
0.667 0.333 0.834 Sc
0.000 0.000 0.652 Sc
0.000 0.000 0.348 Sc
0.333 0.667 0.260 N
0.333 0.667 0.740 N
0.000 0.000 0.000 Zn
```

=====

What did the third record say?
Here is a geometry-optimized Sc4ZnAsN2 structure from OQMD. Energies are from PBE.

Values from the calculation:
VASP energy: -7.209 eV/atom
Symmetry: P-6m2 (187)

The structure in POSCAR format:
```
Sc4ZnAsN2
1.0
-0.538 -3.091 -0.881
2.232 1.778 -1.573
9.439 -4.128 8.726
As Sc N Zn
1 4 2 1
direct
0.667 0.333 0.500 As
0.667 0.333 0.166 Sc
0.667 0.333 0.834 Sc
0.000 0.000 0.652 Sc
0.000 0.000 0.348 Sc
0.333 0.667 0.260 N
0.333 0.667 0.740 N
0.000 0.000 0.000 Zn
```

=====

What is the formula in the first record?
Sc4Ta2As3N3

=====

Which of these has the lowest VASP energy?
Sc2As3W4N3